# BaNiF5

A relaxed structure of BaNiF5 (GGA+U, Alexandria via LeMat-Bulk).

Lattice parameters (Å, degrees): 6.003 6.003 8.176 110.25 110.25 71.12
Positions (direct):
Ba 0.050 0.950 0.750
Ba 0.950 0.050 0.250
Ni 0.500 0.500 0.000
Ni 0.500 0.500 0.500
F 0.215 0.755 0.026
F 0.245 0.785 0.474
F 0.271 0.312 0.392
F 0.312 0.271 0.892
F 0.440 0.560 0.750
F 0.560 0.440 0.250
F 0.688 0.729 0.108
F 0.729 0.688 0.608
F 0.755 0.215 0.526
F 0.785 0.245 0.974

Results
Space group: C2/c
E_tot, Ry/atom: -0.339
Size of the total moment, μB per atom: 0.4356